{"formula": "CaCrO2F", "functional": "GGA+U", "state": "relaxed", "cell": [[3.942, 0.000, 0.000], [0.000, 3.942, 0.000], [0.000, 0.000, 3.857]], "species": ["Ca", "Cr", "O", "O", "F"], "fractional_positions": [[0.000, 0.000, 0.000], [0.500, 0.500, 0.500], [0.000, 0.500, 0.500], [0.500, 0.000, 0.500], [0.500, 0.500, 0.000]], "final_energy_ev_per_cell": -33.68, "crystal_system": "tetragonal", "rho_kg_m3": 3964}